(1)
MnZnIr2, optimized geometry, DFT PBE-GGA; calculated total energy = -28.10 eV per cell; calculated formation energy = 0.0165 eV/atom
1.0
1.360 0.785 8.677
-1.360 0.785 8.677
0.000 -1.570 8.677
Mn Zn Ir
1 1 2
direct
0.000 0.000 0.000
0.749 0.749 0.749
0.255 0.255 0.255
0.500 0.500 0.500

(2)
SiGeAu, optimized geometry, DFT PBE-GGA; calculated total energy = -25.88 eV per cell; energy relative to the elements, uncorrected = 0.13 eV per atom; energy above the lowest structure with this stoichiometry = 0.071 eV/atom
1.0
3.646 -2.422 0.000
3.646 2.422 0.000
-0.244 0.000 6.824
Si Ge Au
2 2 2
direct
0.000 0.000 0.000
0.709 0.709 0.828
0.204 0.204 0.310
0.504 0.504 0.123
0.178 0.178 0.701
0.679 0.679 0.462

(3)
LiY2Sc, optimized geometry, DFT PBE-GGA; calculated total energy = -20.86 eV per cell; calculated formation energy = 0.0778 eV/atom; energy above the lowest structure with this stoichiometry = 0.000 eV/atom
1.0
3.602 0.000 0.000
0.000 3.602 0.000
0.000 0.000 8.366
Li Y Sc
1 2 1
direct
0.000 0.000 0.000
0.500 0.500 0.240
0.500 0.500 0.760
0.000 0.000 0.500

(4)
PrSm2Y3P6, optimized geometry, DFT PBE-GGA; calculated total energy = -85.09 eV per cell; calculated formation energy = -1.5851 eV/atom
1.0
3.532 -6.117 0.000
3.532 6.117 0.000
-2.353 0.000 6.657
Pr Sm Y P
1 2 3 6
direct
0.000 0.000 0.000
0.333 0.667 0.000
0.667 0.333 0.000
0.166 0.834 0.500
0.500 0.500 0.500
0.834 0.166 0.500
0.086 0.422 0.257
0.251 0.251 0.743
0.422 0.086 0.257
0.578 0.914 0.743
0.749 0.749 0.257
0.914 0.578 0.743

(5)
LiPrTlNi, optimized geometry, DFT PBE-GGA; calculated total energy = -15.64 eV per cell; calculated formation energy = -0.2010 eV/atom
1.0
0.000 3.420 3.420
3.420 0.000 3.420
3.420 3.420 0.000
Li Pr Tl Ni
1 1 1 1
direct
0.000 0.000 0.000
0.250 0.250 0.250
0.750 0.750 0.750
0.500 0.500 0.500

(6)
Er2LuCd, optimized geometry, DFT PBE-GGA; calculated total energy = -15.11 eV per cell; calculated formation energy = -0.1379 eV/atom; energy above the lowest structure with this stoichiometry = 0.000 eV/atom
1.0
3.528 0.000 0.000
0.000 3.528 0.000
0.000 0.000 8.987
Er Lu Cd
2 1 1
direct
0.000 0.000 0.232
0.000 0.000 0.768
0.500 0.500 0.500
0.500 0.500 0.000

(7)
Ni3BAs, optimized geometry, DFT PBE-GGA; calculated total energy = -59.80 eV per cell; calculated formation energy = -0.2460 eV/atom; energy above the lowest structure with this stoichiometry = 0.000 eV/atom
1.0
6.146 -1.531 0.000
6.146 1.531 0.000
-1.412 0.000 5.907
Ni B As
6 2 2
direct
0.103 0.103 0.113
0.226 0.226 0.771
0.392 0.392 0.541
0.608 0.608 0.459
0.774 0.774 0.229
0.897 0.897 0.887
0.218 0.218 0.419
0.782 0.782 0.581
0.435 0.435 0.185
0.565 0.565 0.815

(8)
Tb7Er3Tm2, optimized geometry, DFT PBE-GGA; calculated total energy = -54.80 eV per cell; calculated formation energy = 0.0201 eV/atom; energy above the lowest structure with this stoichiometry = 0.000 eV/atom
1.0
3.536 -4.981 0.000
3.536 4.981 0.000
-3.523 0.000 10.563
Tb Er Tm
7 3 2
direct
0.000 0.000 0.000
0.083 0.583 0.167
0.250 0.750 0.500
0.417 0.917 0.833
0.583 0.083 0.167
0.750 0.250 0.500
0.917 0.417 0.833
0.167 0.167 0.334
0.500 0.500 0.000
0.833 0.833 0.666
0.333 0.333 0.666
0.667 0.667 0.334

(9)
AcZnCd, optimized geometry, DFT PBE-GGA; calculated total energy = -6.71 eV per cell; calculated formation energy = -0.1371 eV/atom; energy above the lowest structure with this stoichiometry = 0.165 eV/atom
1.0
-1.861 1.861 5.921
1.861 -1.861 5.921
1.861 1.861 -5.921
Ac Zn Cd
1 1 1
direct
0.000 0.000 0.000
0.322 0.322 0.000
0.700 0.700 0.000

(10)
Tb2ScSi2, optimized geometry, DFT PBE-GGA; calculated total energy = -29.99 eV per cell; energy relative to the elements, uncorrected = -0.71 eV per atom; energy above the lowest structure with this stoichiometry = 0.000 eV/atom
1.0
-2.106 2.993 4.470
2.106 -2.993 4.470
2.106 2.993 -4.470
Tb Sc Si
2 1 2
direct
0.203 0.203 0.000
0.797 0.797 0.000
0.500 0.000 0.500
0.207 0.500 0.707
0.793 0.500 0.293

(11)
ZnTcCl2, optimized geometry, DFT PBE-GGA; calculated total energy = -13.84 eV per cell; energy relative to the elements, uncorrected = 0.37 eV per atom; energy above the lowest structure with this stoichiometry = 0.623 eV/atom
1.0
3.011 -4.238 0.000
3.011 4.238 0.000
-1.519 0.000 2.852
Zn Tc Cl
1 1 2
direct
0.000 0.000 0.000
0.500 0.500 0.000
0.000 0.500 0.000
0.500 0.000 0.000

(12)
P2IrAu, optimized geometry, DFT PBE-GGA; calculated total energy = -22.98 eV per cell; calculated formation energy = -0.0064 eV/atom; energy above the lowest structure with this stoichiometry = 0.219 eV/atom
1.0
-1.425 1.480 7.900
1.425 -1.480 7.900
1.425 1.480 -7.900
P Ir Au
2 1 1
direct
0.000 0.000 0.000
0.790 0.290 0.500
0.371 0.871 0.500
0.636 0.136 0.500

Calculated total magnetization (μB per cell), listed in the same order as above: 1.98, 0.00, 0.00, 0.00, 0.00, 0.00, 0.00, 0.00, 0.00, 0.00, 2.49, 0.00